(1)
A plane-wave DFT calculation with PBE-GGA was carried out for a geometry-optimized OsBrCl3 structure.

Computed properties:
symmetry	No. 221
magnetization	0.986	μB per atom

Structure (POSCAR):
```
OsBrCl3
1.0
-4.0284 3.1694 -1.2635
-2.8809 -2.1122 3.8870
1.8281 3.6556 3.3414
Br Cl Os
1 3 1
Direct
0.0000 0.0000 0.0000
0.0000 0.0000 0.5000
0.5000 0.0000 0.0000
0.0000 0.5000 0.0000
0.5000 0.5000 0.5000
```

=====

(2)
A plane-wave DFT calculation with PBE-GGA was carried out for a geometry-optimized OsBrCl3 structure.

Computed properties:
symmetry	No. 14
magnetization	0.398	μB per atom

Structure (POSCAR):
```
OsBrCl3
1.0
6.1173 0.0000 0.0000
0.0000 9.8915 1.1471
0.0000 0.0432 10.0524
Cl Br Os
12 4 4
Direct
0.2678 0.5095 0.0628
0.9094 0.2460 0.1660
0.0906 0.7540 0.8340
0.5520 0.7915 0.9908
0.0520 0.7085 0.5092
0.7678 0.9905 0.4372
0.5906 0.7460 0.6660
0.4480 0.2085 0.0092
0.4094 0.2540 0.3340
0.9480 0.2915 0.4908
0.2322 0.0095 0.5628
0.7322 0.4905 0.9372
0.6987 0.5401 0.2686
0.8013 0.0401 0.7686
0.1987 0.9599 0.2314
0.3013 0.4599 0.7314
0.4283 0.6310 0.8659
0.0717 0.1310 0.3659
0.9283 0.8690 0.6341
0.5717 0.3690 0.1341
```

=====

Computed relative energies in units of eV/atom: (1) 1.826; (2) 0.000

=====

(1)
A plane-wave DFT calculation with PBE-GGA was carried out for a geometry-optimized POsBrCl2 structure.

Computed properties:
symmetry	No. 123
magnetization	0.000	μB per atom

Structure (POSCAR):
```
POsBrCl2
1.0
4.8123 0.0000 0.0000
0.0000 4.8123 0.0000
0.0000 0.0000 4.6229
Os Cl Br P
1 2 1 1
Direct
0.0000 0.0000 0.0000
0.5000 0.0000 0.0000
0.0000 0.5000 0.0000
0.5000 0.5000 0.5000
0.0000 0.0000 0.5000
```

=====

(2)
A plane-wave DFT calculation with PBE-GGA was carried out for a geometry-optimized POsBrCl2 structure.

Computed properties:
symmetry	No. 123
magnetization	0.814	μB per atom

Structure (POSCAR):
```
POsBrCl2
1.0
4.9855 0.0000 0.0000
0.0000 4.9855 0.0000
0.0000 0.0000 5.2240
Cl Br P Os
2 1 1 1
Direct
0.0000 0.5000 0.0000
0.5000 0.0000 0.0000
0.0000 0.0000 0.0000
0.0000 0.0000 0.5000
0.5000 0.5000 0.5000
```

=====

Computed relative energies in units of eV/atom: (1) 0.000; (2) 1.508

=====

(1)
A plane-wave DFT calculation with PBE-GGA was carried out for a geometry-optimized OsSBrCl2 structure.

Computed properties:
symmetry	No. 123
magnetization	0.000	μB per atom

Structure (POSCAR):
```
OsSBrCl2
1.0
4.8760 0.0000 0.0000
0.0000 4.8760 0.0000
0.0000 0.0000 4.4837
Os Cl S Br
1 2 1 1
Direct
0.0000 0.0000 0.0000
0.0000 0.5000 0.0000
0.5000 0.0000 0.0000
0.0000 0.0000 0.5000
0.5000 0.5000 0.5000
```

=====

(2)
A plane-wave DFT calculation with PBE-GGA was carried out for a geometry-optimized OsSBrCl2 structure.

Computed properties:
symmetry	No. 123
magnetization	0.936	μB per atom

Structure (POSCAR):
```
OsSBrCl2
1.0
5.1749 0.0000 0.0000
0.0000 5.1749 0.0000
0.0000 0.0000 4.9249
Os Cl Br S
1 2 1 1
Direct
0.5000 0.5000 0.5000
0.0000 0.5000 0.0000
0.5000 0.0000 0.0000
0.0000 0.0000 0.0000
0.0000 0.0000 0.5000
```

=====

Computed relative energies in units of eV/atom: (1) 0.000; (2) 1.425

=====

(1)
A plane-wave DFT calculation with PBE-GGA was carried out for a geometry-optimized OsSeBr2Cl structure.

Computed properties:
symmetry	No. 123
magnetization	0.000	μB per atom

Structure (POSCAR):
```
OsSeBr2Cl
1.0
5.1449 0.0000 0.0000
0.0000 5.1449 0.0000
0.0000 0.0000 4.6966
Br Se Os Cl
2 1 1 1
Direct
0.5000 0.0000 0.0000
0.0000 0.5000 0.0000
0.0000 0.0000 0.5000
0.0000 0.0000 0.0000
0.5000 0.5000 0.5000
```

=====

(2)
A plane-wave DFT calculation with PBE-GGA was carried out for a geometry-optimized OsSeBr2Cl structure.

Computed properties:
symmetry	No. 123
magnetization	0.900	μB per atom

Structure (POSCAR):
```
OsSeBr2Cl
1.0
5.0600 0.0000 0.0000
0.0000 5.0600 0.0000
0.0000 0.0000 5.4249
Br Cl Os Se
2 1 1 1
Direct
0.0000 0.5000 0.0000
0.5000 0.0000 0.0000
0.0000 0.0000 0.0000
0.5000 0.5000 0.5000
0.0000 0.0000 0.5000
```

=====

Computed relative energies in units of eV/atom: (1) 0.000; (2) 1.296

=====

(1)
A plane-wave DFT calculation with PBE-GGA was carried out for a geometry-optimized PBrCl2 structure.

Computed properties:
symmetry	No. 6
magnetization	0.000	μB per atom

Structure (POSCAR):
```
PBrCl2
1.0
3.6407 0.0000 0.0000
0.0000 6.4945 0.0247
0.0000 2.4879 6.6198
Br Cl P
1 2 1
Direct
0.5000 0.6699 0.6282
0.0000 0.8592 0.1857
0.5000 0.4084 0.2693
0.0000 0.5625 0.4168
```

=====

(2)
A plane-wave DFT calculation with PBE-GGA was carried out for a geometry-optimized PBrCl2 structure.

Computed properties:
symmetry	No. 65
magnetization	0.281	μB per atom

Structure (POSCAR):
```
PBrCl2
1.0
3.9394 -0.1270 0.0000
-2.5119 3.0373 0.0000
0.0000 0.0000 10.6744
P Br Cl
1 1 2
Direct
0.5000 0.5000 0.2500
0.5000 0.5000 0.7500
0.0000 0.0000 0.4115
0.0000 0.0000 0.0885
```

=====

(3)
A plane-wave DFT calculation with PBE-GGA was carried out for a geometry-optimized PBrCl2 structure.

Computed properties:
symmetry	No. 225
magnetization	0.000	μB per atom

Structure (POSCAR):
```
PBrCl2
1.0
-1.8025 -2.2591 3.9315
0.8662 1.7922 4.4550
-3.6181 2.0539 2.5494
Cl Br P
2 1 1
Direct
0.2500 0.2500 0.2500
0.7500 0.7500 0.7500
0.5000 0.5000 0.5000
0.0000 0.0000 0.0000
```

=====

Computed relative energies in units of eV/atom: (1) 0.000; (2) 0.558; (3) 1.208

=====

(1)
A plane-wave DFT calculation with PBE-GGA was carried out for a geometry-optimized PBrCl2 structure.

Computed properties:
symmetry	No. 47
magnetization	0.333	μB per atom

Structure (POSCAR):
```
PBrCl2
1.0
-0.2942 -0.5552 -3.5566
7.4054 0.8094 -0.7390
0.4892 -3.9502 0.5762
Cl P Br
2 1 1
Direct
0.5000 0.5000 0.0000
0.0000 0.0000 0.0000
0.5000 0.0000 0.5000
0.0000 0.5000 0.5000
```

=====

(2)
A plane-wave DFT calculation with PBE-GGA was carried out for a geometry-optimized PBrCl2 structure.

Computed properties:
symmetry	No. 12
magnetization	0.022	μB per atom

Structure (POSCAR):
```
PBrCl2
1.0
-2.3915 -2.6544 -2.1769
-1.0514 -4.0302 0.3947
-8.1424 0.3617 4.4366
Br P Cl
1 1 2
Direct
0.2500 0.2500 0.2500
0.7500 0.7500 0.7500
0.4349 0.4349 0.5981
0.0651 0.0651 0.9019
```

=====

(3)
A plane-wave DFT calculation with PBE-GGA was carried out for a geometry-optimized PBrCl2 structure.

Computed properties:
symmetry	No. 12
magnetization	0.000	μB per atom

Structure (POSCAR):
```
PBrCl2
1.0
-5.2971 1.3340 3.2446
-2.5991 -5.5939 1.5226
-0.4650 -0.9868 3.2417
Br Cl P
1 2 1
Direct
0.0000 0.5000 0.5000
0.5000 0.5000 0.0000
0.0000 0.0000 0.0000
0.5000 0.0000 0.5000
```

=====

Computed relative energies in units of eV/atom: (1) 0.469; (2) 0.000; (3) 0.432

=====

(1)
A plane-wave DFT calculation with PBE-GGA was carried out for a geometry-optimized PBrCl2 structure.

Computed properties:
symmetry	No. 44
magnetization	0.000	μB per atom

Structure (POSCAR):
```
PBrCl2
1.0
-5.3674 4.9789 0.2243
-7.2228 -0.7195 -0.9806
6.3415 -1.4630 3.3606
Cl P Br
2 1 1
Direct
0.0032 0.0032 0.0000
0.6365 0.1365 0.5000
0.5026 0.5026 0.0000
0.3577 0.8577 0.5000
```

=====

(2)
A plane-wave DFT calculation with PBE-GGA was carried out for a geometry-optimized PBrCl2 structure.

Computed properties:
symmetry	No. 65
magnetization	0.000	μB per atom

Structure (POSCAR):
```
PBrCl2
1.0
5.2328 0.0077 0.0000
-1.5097 5.0103 0.0000
0.0000 0.0000 3.1284
Cl P Br
2 1 1
Direct
0.0000 0.0000 0.0000
0.5000 0.5000 0.0000
0.5000 0.0000 0.5000
0.0000 0.5000 0.5000
```

=====

(3)
A plane-wave DFT calculation with PBE-GGA was carried out for a geometry-optimized PBrCl2 structure.

Computed properties:
symmetry	No. 44
magnetization	0.505	μB per atom

Structure (POSCAR):
```
PBrCl2
1.0
4.3139 0.0000 2.0720
1.3696 6.1689 2.6753
-0.6202 0.4690 6.8179
Cl Br P
2 1 1
Direct
0.8373 0.6536 0.6718
0.1627 0.3282 0.3464
0.0000 0.9689 0.0311
0.0000 0.6492 0.3508
```

=====

Computed relative energies in units of eV/atom: (1) 0.190; (2) 0.943; (3) 0.000

=====

(1)
A plane-wave DFT calculation with PBE-GGA was carried out for a geometry-optimized PBrCl structure.

Computed properties:
symmetry	No. 1
magnetization	0.000	μB per atom

Structure (POSCAR):
```
PBrCl
1.0
-1.3483 2.2381 2.1355
-9.3675 -4.6518 4.5045
3.1957 -5.1453 3.8493
P Cl Br
2 2 2
Direct
0.7024 0.8924 0.9131
0.4883 0.6164 0.9102
0.4325 0.9524 0.6029
0.7593 0.5552 0.2203
0.6128 0.4355 0.8155
0.5759 0.0739 0.0057
```

=====

(2)
A plane-wave DFT calculation with PBE-GGA was carried out for a geometry-optimized PBrCl structure.

Computed properties:
symmetry	No. 216
magnetization	0.206	μB per atom

Structure (POSCAR):
```
PBrCl
1.0
4.7845 0.0000 0.0000
2.3922 4.1435 0.0000
2.3922 1.3812 3.9065
P Br Cl
1 1 1
Direct
0.5000 0.5000 0.5000
0.7500 0.7500 0.7500
0.0000 0.0000 0.0000
```

=====

(3)
A plane-wave DFT calculation with PBE-GGA was carried out for a geometry-optimized PBrCl structure.

Computed properties:
symmetry	No. 42
magnetization	0.331	μB per atom

Structure (POSCAR):
```
PBrCl
1.0
8.4767 -0.1011 0.0518
6.3649 4.0207 -0.0690
2.1118 -2.5060 3.2747
Br P Cl
1 1 1
Direct
0.9546 0.9546 0.0454
0.3297 0.3297 0.6703
0.7157 0.7157 0.2843
```

=====

(4)
A plane-wave DFT calculation with PBE-GGA was carried out for a geometry-optimized PBrCl structure.

Computed properties:
symmetry	No. 44
magnetization	0.000	μB per atom

Structure (POSCAR):
```
PBrCl
1.0
6.7698 0.0319 0.0164
4.5776 4.9877 -0.0164
-5.5561 -2.7757 2.6939
P Br Cl
1 1 1
Direct
0.7809 0.7809 0.0000
0.9571 0.9571 0.0000
0.2620 0.2620 0.0000
```

=====

Computed relative energies in units of eV/atom: (1) 0.000; (2) 1.241; (3) 0.290; (4) 0.282

=====

(1)
A plane-wave DFT calculation with PBE-GGA was carried out for a geometry-optimized PBrCl structure.

Computed properties:
symmetry	No. 1
magnetization	0.000	μB per atom

Structure (POSCAR):
```
PBrCl
1.0
-0.8398 2.8334 1.5772
1.0703 -3.4208 3.7034
5.8976 2.8728 -2.5683
Br P Cl
1 1 1
Direct
0.3796 0.7473 0.6680
0.1828 0.3310 0.3956
0.2197 0.4630 0.1530
```

=====

(2)
A plane-wave DFT calculation with PBE-GGA was carried out for a geometry-optimized PBrCl structure.

Computed properties:
symmetry	No. 1
magnetization	0.000	μB per atom

Structure (POSCAR):
```
PBrCl
1.0
-3.8535 -1.1614 3.9101
-1.7622 -5.5737 -2.5113
3.6451 -5.8476 2.3864
Cl Br P
2 2 2
Direct
0.9341 0.5489 0.9899
0.9384 0.8043 0.5011
0.4725 0.0039 0.0239
0.4768 0.2824 0.4885
0.9070 0.8808 0.7504
0.4978 0.9246 0.7514
```

=====

(3)
A plane-wave DFT calculation with PBE-GGA was carried out for a geometry-optimized PBrCl structure.

Computed properties:
symmetry	No. 156
magnetization	0.000	μB per atom

Structure (POSCAR):
```
PBrCl
1.0
-1.8973 1.4819 3.2442
2.7459 -2.9319 0.4297
4.4291 4.2436 0.6518
P Br Cl
1 1 1
Direct
0.3333 0.6667 0.6587
0.0000 0.0000 0.8771
0.6667 0.3333 0.4643
```

=====

(4)
A plane-wave DFT calculation with PBE-GGA was carried out for a geometry-optimized PBrCl structure.

Computed properties:
symmetry	No. 107
magnetization	0.000	μB per atom

Structure (POSCAR):
```
PBrCl
1.0
7.2034 0.0621 0.0000
5.7133 4.3877 0.0000
-6.4583 -2.2249 2.2875
Br P Cl
1 1 1
Direct
0.0465 0.0465 0.0000
0.6657 0.6657 0.0000
0.2878 0.2878 0.0000
```

=====

Computed relative energies in units of eV/atom: (1) 0.202; (2) 0.000; (3) 0.676; (4) 0.968

=====

(1)
A plane-wave DFT calculation with PBE-GGA was carried out for a geometry-optimized PBrCl3 structure.

Computed properties:
symmetry	No. 14
magnetization	0.201	μB per atom

Structure (POSCAR):
```
PBrCl3
1.0
7.1262 0.0000 0.0000
0.0000 11.2770 0.9576
0.0000 2.1879 10.6295
P Cl Br
4 12 4
Direct
0.8884 0.2144 0.5379
0.3884 0.2856 0.9621
0.6116 0.7144 0.0379
0.1116 0.7856 0.4621
0.2129 0.7952 0.6344
0.2197 0.6249 0.4439
0.2269 0.4204 0.8300
0.2871 0.2952 0.1344
0.7731 0.5796 0.1700
0.7803 0.3751 0.5561
0.7197 0.8751 0.0561
0.2731 0.9204 0.3300
0.7871 0.2048 0.3656
0.2803 0.1249 0.9439
0.7269 0.0796 0.6700
0.7129 0.7048 0.8656
0.7187 0.2356 0.0098
0.2187 0.2644 0.4902
0.2813 0.7644 0.9902
0.7813 0.7356 0.5098
```

=====

(2)
A plane-wave DFT calculation with PBE-GGA was carried out for a geometry-optimized PBrCl3 structure.

Computed properties:
symmetry	No. 221
magnetization	0.200	μB per atom

Structure (POSCAR):
```
PBrCl3
1.0
4.8544 0.0000 0.0000
0.0000 4.8544 0.0000
0.0000 0.0000 4.8544
Cl Br P
3 1 1
Direct
0.5000 0.0000 0.0000
0.0000 0.5000 0.0000
0.0000 0.0000 0.5000
0.5000 0.5000 0.5000
0.0000 0.0000 0.0000
```

=====

Computed relative energies in units of eV/atom: (1) 0.000; (2) 0.535